No. 1
VASP calculation (PBE) on a geometry-optimized InFeMo2 structure. Values from VASP.

Quantum ESPRESSO input file:
```
&SYSTEM
  ibrav = 0, nat = 4, ntyp = 3
/
ATOMIC_SPECIES
Fe 55.84 Fe.upf
In 114.82 In.upf
Mo 95.94 Mo.upf
ATOMIC_POSITIONS angstrom
Fe 1.4266 1.9923 1.4210
In 1.4266 1.9923 4.2631
Mo 0.0000 0.0000 0.2042
Mo 0.0000 0.0000 2.6378
CELL_PARAMETERS angstrom
2.8533 0.0000 0.0000
0.0000 3.9845 0.0000
0.0000 0.0000 5.6842
```

## Properties
Its symmetry is Pmmm. For the energy relative to the elements, the calculation gives 1.25 eV per formula unit.


No. 2
VASP calculation (PBE) on a geometry-optimized InFeMo2 structure. Values from VASP.

Quantum ESPRESSO input file:
```
&SYSTEM
  ibrav = 0, nat = 4, ntyp = 3
/
ATOMIC_SPECIES
Fe 55.84 Fe.upf
In 114.82 In.upf
Mo 95.94 Mo.upf
ATOMIC_POSITIONS angstrom
Fe -1.5258 -2.2400 1.0373
In -4.1996 -2.0882 1.8662
Mo -0.1125 -0.1652 0.0765
Mo -2.6493 0.1879 0.8122
CELL_PARAMETERS angstrom
-1.1464 1.8951 2.4062
-2.5347 0.8553 -1.8813
-3.2040 -4.7039 2.1782
```

## Properties
Its symmetry is P4mm. For the energy relative to the elements, the calculation gives 0.96 eV per formula unit.


No. 3
VASP calculation (PBE) on a geometry-optimized InFeMo structure. Values from VASP.

Quantum ESPRESSO input file:
```
&SYSTEM
  ibrav = 0, nat = 3, ntyp = 3
/
ATOMIC_SPECIES
Fe 55.84 Fe.upf
In 114.82 In.upf
Mo 95.94 Mo.upf
ATOMIC_POSITIONS angstrom
Fe -0.1111 -0.1132 -0.0791
In -2.2597 -2.3039 -1.6086
Mo -4.2467 -4.3298 -3.0231
CELL_PARAMETERS angstrom
-2.9336 -2.4336 -4.2286
-3.6839 -4.3134 -0.4822
1.6926 4.7147 2.7047
```

## Properties
Its symmetry is I4mm. The calculation puts the relative energy among the computed polymorphs at 0 meV per atom. For the energy relative to the elements, the calculation gives 0.64 eV per formula unit.


No. 4
VASP calculation (PBE) on a geometry-optimized InFeMo2 structure. Values from VASP.

Quantum ESPRESSO input file:
```
&SYSTEM
  ibrav = 0, nat = 4, ntyp = 3
/
ATOMIC_SPECIES
Fe 55.84 Fe.upf
In 114.82 In.upf
Mo 95.94 Mo.upf
ATOMIC_POSITIONS angstrom
Fe -1.7593 -0.7955 2.0314
In -5.0711 0.6969 3.6046
Mo -0.2447 0.1103 0.1162
Mo -3.0672 1.3821 1.4570
CELL_PARAMETERS angstrom
-1.1861 -2.5427 -0.0849
0.9794 -0.5406 2.5745
-6.6237 2.9848 3.1464
```

## Properties
Its symmetry is P4/mmm. For the energy relative to the elements, the calculation gives 1.03 eV per formula unit.